Below is a relaxed structure of MgSc4Cu2Rh, with properties calculated at the GGA-PBE level.

Results
Total magnetization   0.00 μB/atom
Energy relative to the elements   -0.384 eV per atom
Symmetry   R-3m, No. 166
Density   4862 kg/m³
D(E_F)   6.587 states/eV/f.u.

Cell and atoms, written as POSCAR:
```
MgSc4Cu2Rh
1.0
2.348 1.355 7.765
-2.348 1.355 7.765
0.000 -2.711 7.765
Mg Sc Cu Rh
1 4 2 1
Cartesian
0.000 0.000 0.000 Mg
0.000 0.000 3.074 Sc
0.000 0.000 8.961 Sc
0.000 0.000 14.335 Sc
0.000 0.000 20.222 Sc
0.000 0.000 6.036 Cu
0.000 0.000 17.261 Cu
0.000 0.000 11.648 Rh
```

***

Below is a relaxed structure of BaHgPb3, with properties calculated at the GGA-PBE level.

Results
Total magnetization   0.00 μB/atom
Energy relative to the elements   -0.274 eV per atom
Symmetry   P1, No. 1
Excess energy over the best structure of this formula in the dataset   0 meV/atom
Density   9078 kg/m³
D(E_F)   2.293 states/eV/f.u.

Cell and atoms, written as POSCAR:
```
BaHgPb3
1.0
4.731 0.000 0.000
0.013 5.270 0.000
2.354 2.548 7.039
Ba Hg Pb
1 1 3
Cartesian
0.000 0.000 0.000 Ba
4.722 5.247 5.549 Hg
2.362 5.230 3.459 Pb
2.376 2.604 1.519 Pb
4.737 2.612 3.715 Pb
```

***

Below is a relaxed structure of Co4IrRh, with properties calculated at the GGA-PBE level.

Results
Total magnetization   1.52 μB/atom
Energy relative to the elements   0.073 eV per atom
Symmetry   F-43m, No. 216
Density   11972 kg/m³
D(E_F)   6.847 states/eV/f.u.

Cell and atoms, written as POSCAR:
```
Co4IrRh
1.0
0.000 3.327 3.327
3.327 0.000 3.327
3.327 3.327 0.000
Co Ir Rh
4 1 1
Cartesian
0.832 0.832 0.832 Co
2.495 2.495 0.832 Co
2.495 0.832 2.495 Co
0.832 2.495 2.495 Co
3.327 3.327 3.327 Ir
4.990 4.990 4.990 Rh
```

***

Below is a relaxed structure of Mn4NiHg, with properties calculated at the GGA-PBE level.

Results
Total magnetization   1.13 μB/atom
Energy relative to the elements   0.452 eV per atom
Symmetry   F-43m, No. 216
Density   10148 kg/m³
D(E_F)   10.381 states/eV/f.u.

Cell and atoms, written as POSCAR:
```
Mn4NiHg
1.0
0.000 3.397 3.397
3.397 0.000 3.397
3.397 3.397 0.000
Mn Ni Hg
4 1 1
Cartesian
0.844 0.844 0.844 Mn
2.553 2.553 0.844 Mn
2.553 0.844 2.553 Mn
0.844 2.553 2.553 Mn
5.095 5.095 5.095 Ni
3.397 3.397 3.397 Hg
```

***

Below is a relaxed structure of TbErMg2, with properties calculated at the GGA-PBE level.

Results
Total magnetization   0.00 μB/atom
Energy relative to the elements   -0.077 eV per atom
Symmetry   P4/mmm, No. 123
Density   5756 kg/m³
D(E_F)   5.132 states/eV/f.u.

Cell and atoms, written as POSCAR:
```
TbErMg2
1.0
5.355 0.000 0.000
0.000 5.355 0.000
0.000 0.000 3.771
Tb Er Mg
1 1 2
Cartesian
0.000 0.000 0.000 Tb
2.677 2.677 0.000 Er
0.000 2.677 1.885 Mg
2.677 0.000 1.885 Mg
```

***

Below is a relaxed structure of Dy4RuPb3, with properties calculated at the GGA-PBE level.

Results
Total magnetization   0.00 μB/atom
Energy relative to the elements   -0.451 eV per atom
Symmetry   P4/mmm, No. 123
Density   10921 kg/m³
D(E_F)   4.433 states/eV/f.u.

Cell and atoms, written as POSCAR:
```
Dy4RuPb3
1.0
3.476 0.000 0.000
0.000 3.476 0.000
0.000 0.000 17.275
Dy Ru Pb
4 1 3
Cartesian
0.000 0.000 1.643 Dy
0.000 0.000 6.348 Dy
0.000 0.000 10.927 Dy
0.000 0.000 15.632 Dy
1.738 1.738 0.000 Ru
1.738 1.738 4.097 Pb
1.738 1.738 8.637 Pb
1.738 1.738 13.178 Pb
```

***

Below is a relaxed structure of CuOsBr2, with properties calculated at the GGA-PBE level.

Results
Total magnetization   0.00 μB/atom
Symmetry   R-3m, No. 166
Excess energy over the best structure of this formula in the dataset   584 meV/atom
Density   9508 kg/m³
Energy relative to the elements, uncorrected   1.004 eV per atom
D(E_F)   2.571 states/eV/f.u.

Cell and atoms, written as POSCAR:
```
CuOsBr2
1.0
1.635 0.944 7.798
-1.635 0.944 7.798
0.000 -1.888 7.798
Cu Os Br
1 1 2
Cartesian
0.000 0.000 0.000 Cu
0.000 0.000 11.697 Os
0.000 0.000 5.811 Br
0.000 0.000 17.583 Br
```

***

Below is a relaxed structure of RuBrCl, with properties calculated at the GGA-PBE level.

Results
Total magnetization   0.67 μB/atom
Symmetry   Fmm2, No. 42
Excess energy over the best structure of this formula in the dataset   272 meV/atom
Density   4090 kg/m³
Energy relative to the elements, uncorrected   0.117 eV per atom
D(E_F)   2.958 states/eV/f.u.

Cell and atoms, written as POSCAR:
```
RuBrCl
1.0
0.000 3.552 7.010
1.764 0.000 7.010
1.764 3.552 0.000
Ru Br Cl
1 1 1
Cartesian
0.000 0.000 0.000 Ru
1.764 3.552 5.286 Br
1.764 3.552 8.591 Cl
```

***

Below is a relaxed structure of ScZnIn, with properties calculated at the GGA-PBE level.

Results
Total magnetization   0.00 μB/atom
Energy relative to the elements   -0.321 eV per atom
Symmetry   Cmmm, No. 65
Density   6164 kg/m³
D(E_F)   2.038 states/eV/f.u.

Cell and atoms, written as POSCAR:
```
ScZnIn
1.0
2.137 -6.562 0.000
2.137 6.562 0.000
0.000 0.000 4.327
Sc Zn In
2 2 2
Cartesian
2.137 4.556 0.000 Sc
2.137 -4.556 0.000 Sc
0.000 0.000 2.163 Zn
2.137 0.000 0.000 Zn
2.137 2.128 2.163 In
2.137 -2.128 2.163 In
```

***

Below is a relaxed structure of IrCl2F, with properties calculated at the GGA-PBE level.

Results
Total magnetization   0.00 μB/atom
Symmetry   Fm-3m, No. 225
Excess energy over the best structure of this formula in the dataset   947 meV/atom
Density   8398 kg/m³
Energy relative to the elements, uncorrected   0.280 eV per atom
D(E_F)   2.670 states/eV/f.u.

Cell and atoms, written as POSCAR:
```
IrCl2F
1.0
0.000 3.033 3.033
3.033 0.000 3.033
3.033 3.033 0.000
Ir Cl F
1 2 1
Cartesian
0.000 0.000 0.000 Ir
1.516 1.516 1.516 Cl
4.549 4.549 4.549 Cl
3.033 3.033 3.033 F
```

***

Below is a relaxed structure of TmCrB, with properties calculated at the GGA-PBE level.

Results
Total magnetization   0.42 μB/atom
Energy relative to the elements   -0.118 eV per atom
Symmetry   Pbcm, No. 57
Density   8922 kg/m³
D(E_F)   2.695 states/eV/f.u.

Cell and atoms, written as POSCAR:
```
TmCrB
1.0
5.239 0.000 0.000
0.000 5.914 0.000
0.000 0.000 5.569
Tm Cr B
4 4 4
Cartesian
0.615 0.477 1.392 Tm
0.615 2.480 4.177 Tm
4.624 3.434 1.392 Tm
4.624 5.437 4.177 Tm
2.235 4.435 0.000 Cr
2.235 4.435 2.784 Cr
3.003 1.478 0.000 Cr
3.003 1.478 2.784 Cr
2.002 0.176 4.177 B
2.002 2.781 1.392 B
3.237 3.133 4.177 B
3.237 5.738 1.392 B
```

***

Below is a relaxed structure of K4TaMn, with properties calculated at the GGA-PBE level.

Results
Total magnetization   1.50 μB/atom
Energy relative to the elements   1.527 eV per atom
Symmetry   F-43m, No. 216
Density   2629 kg/m³
D(E_F)   6.680 states/eV/f.u.

Cell and atoms, written as POSCAR:
```
K4TaMn
1.0
0.000 4.985 4.985
4.985 0.000 4.985
4.985 4.985 0.000
K Ta Mn
4 1 1
Cartesian
1.251 1.251 1.251 K
3.734 3.734 1.251 K
3.734 1.251 3.734 K
1.251 3.734 3.734 K
4.985 4.985 4.985 Ta
7.478 7.478 7.478 Mn
```

***

Number 1: electronic total energy -45.54 eV per cell. Number 2: electronic total energy -14.72 eV per cell. Number 3: electronic total energy -44.20 eV per cell. Number 4: electronic total energy -40.05 eV per cell. Number 5: electronic total energy -12.69 eV per cell. Number 6: electronic total energy -42.42 eV per cell. Number 7: electronic total energy -14.65 eV per cell. Number 8: electronic total energy -12.44 eV per cell. Number 9: electronic total energy -22.62 eV per cell. Number 10: electronic total energy -13.31 eV per cell. Number 11: electronic total energy -84.50 eV per cell. Number 12: electronic total energy -16.25 eV per cell.